DFT (GGA+U) results for Co3BiO after structural relaxation.

Lattice parameters (Å, degrees): 5.0692 5.0692 5.0692 90.00 90.00 90.00
Sites, in units of the cell vectors:
Co: 0.0000 0.0000 0.5000
Co: 0.0000 0.5000 0.0000
Co: 0.5000 0.0000 0.0000
Bi: 0.0000 0.0000 0.0000
O: 0.5000 0.5000 0.5000

Properties
Magnetization (μB per atom): 1.60
ΔE to the lowest computed polymorph (meV per atom): 1439
Electronic total energy (eV/atom): -2.994
Space group: Pm-3m, No. 221